[1]
Material: Be12V5Cr3
Method: DFT, GGA-PBE
State: optimized geometry

Cell and atoms, written as POSCAR:
```
Be12V5Cr3
1.0
-0.366 1.148 -11.305
8.945 -6.402 2.871
-9.552 -4.996 3.613
V Be Cr
20 48 12
Cartesian
-6.183 -4.117 -1.170
-1.893 -6.744 -5.387
1.734 -5.014 -5.329
4.289 -2.627 -4.217
-0.486 -5.125 -2.410
3.081 -6.532 2.095
5.210 -6.133 -3.650
-2.707 -5.236 0.509
6.541 -5.939 0.138
-4.054 -3.718 -6.915
-4.959 -1.924 -3.846
0.000 0.000 0.000
0.921 -3.506 0.567
4.473 -3.201 1.436
0.905 -1.795 -3.070
-1.878 -8.455 -1.751
-4.776 -2.498 1.807
-7.514 -4.311 -4.958
-0.303 -5.699 3.242
-0.183 0.574 -5.652
-5.887 -6.282 -2.280
-5.933 -6.067 -4.308
-2.685 -2.858 1.102
1.034 -5.524 -0.821
-6.026 -2.669 -7.924
-1.189 -3.034 -2.776
-4.030 -7.526 -2.466
-4.097 -7.342 -4.497
7.147 -5.429 -6.725
-2.565 -4.536 -1.836
6.762 -6.668 2.468
-4.162 -3.370 -2.339
3.189 -6.880 -2.481
-4.478 -6.737 1.294
-3.625 -3.592 -4.505
2.652 -6.658 -0.315
-1.265 -9.612 2.650
-2.007 -4.726 -4.000
-1.099 -6.814 1.475
0.292 -0.638 -7.470
-8.120 -4.822 1.905
-4.395 -6.956 3.320
1.712 -7.392 -5.922
0.137 -2.483 -8.326
0.216 -7.216 -2.045
3.506 -3.513 -6.114
0.006 -8.287 -5.253
3.057 -2.724 -2.354
5.422 -6.308 -6.086
-1.293 -8.656 0.621
-0.979 -1.963 0.433
-6.394 -3.942 1.265
3.422 -3.294 -8.140
3.125 -2.908 -0.324
0.656 -9.274 1.543
-1.629 -0.976 -6.363
-1.109 -7.767 3.505
-2.788 -1.888 -3.312
0.320 -1.594 -5.442
0.126 -3.436 -6.296
1.816 -8.362 -1.508
-1.804 -2.805 -7.248
1.592 -5.714 -2.984
4.960 -4.183 -0.513
-7.735 -3.582 -7.288
5.053 -7.581 3.104
4.914 -3.968 -2.540
0.831 -7.445 2.428
3.065 -4.820 -1.541
-4.038 -5.430 -3.279
1.583 -7.863 -3.708
0.602 -7.494 0.172
-6.167 -5.828 2.466
1.886 -2.164 -6.950
-1.590 -1.045 -8.629
-2.555 -2.387 -1.112
0.617 -9.205 3.809
5.194 -4.422 -7.287
-2.859 -8.086 2.130
-1.574 -2.757 -4.993
```

symmetry: Ia-3d (230)
calculated formation energy: 2074 kJ/mol of formula units

=====

[2]
Material: Mn2CuP
Method: DFT, GGA-PBE
State: optimized geometry

Cell and atoms, written as POSCAR:
```
Mn2CuP
1.0
-0.882 2.911 -2.894
2.714 -2.533 -1.961
-2.116 -1.554 -0.908
Mn P Cu
2 1 1
Cartesian
0.916 0.189 -2.427
0.000 0.000 0.000
-1.499 0.679 -1.901
0.299 -2.043 -1.435
```

symmetry: C2/m (12)
calculated formation energy: 3 kJ/mol of formula units

=====

[3]
Material: MnTl2Ir
Method: DFT, GGA-PBE
State: optimized geometry

Cell and atoms, written as POSCAR:
```
MnTl2Ir
1.0
-1.353 1.952 2.231
-4.684 -0.662 -2.263
-0.793 -3.643 2.708
Mn Ir Tl
1 1 2
Cartesian
-2.739 -2.153 0.223
-1.073 -0.845 2.469
0.000 0.000 0.000
-3.019 0.645 -0.016
```

offset from the most stable computed form: 0.285 eV/atom
symmetry: Pmmm (47)
calculated formation energy: 218 kJ/mol of formula units

=====

[4]
Material: HgSbSe2
Method: DFT, GGA-PBE
State: optimized geometry

Cell and atoms, written as POSCAR:
```
HgSbSe2
1.0
7.483 -0.094 -0.057
6.391 3.893 -0.057
6.391 1.750 3.478
Sb Hg Se
1 1 2
Cartesian
15.139 4.145 2.513
10.309 2.823 1.711
0.150 0.041 0.025
4.798 1.314 0.796
```

offset from the most stable computed form: 0.138 eV/atom
uncorrected formation energy: -0.01 eV/atom
symmetry: R3m (160)

=====

[5]
Material: TaCdNi
Method: DFT, GGA-PBE
State: optimized geometry

Cell and atoms, written as POSCAR:
```
TaCdNi
1.0
2.884 0.000 0.000
-1.442 2.498 0.000
0.000 0.000 6.984
Ni Ta Cd
1 1 1
Cartesian
1.442 0.833 2.409
0.000 1.665 4.444
0.000 0.000 0.132
```

offset from the most stable computed form: 0.125 eV/atom
symmetry: P3m1 (156)
calculated formation energy: 53 kJ/mol of formula units

=====

[6]
Material: LaCo
Method: DFT, GGA-PBE
State: optimized geometry

Cell and atoms, written as POSCAR:
```
LaCo
1.0
-1.923 -3.188 0.760
3.780 0.077 0.388
-0.843 2.355 7.745
La Co
2 2
Cartesian
1.178 0.944 6.944
-0.354 0.988 3.250
-0.074 0.207 0.680
1.742 -0.629 1.768
```

symmetry: P-3m1 (164)
calculated formation energy: 45 kJ/mol of formula units

=====

[7]
Material: Li2IrRh
Method: DFT, GGA-PBE
State: optimized geometry

Cell and atoms, written as POSCAR:
```
Li2IrRh
1.0
-3.001 4.294 -7.711
-2.404 1.873 -8.810
-4.832 2.277 -7.640
Ir Li Rh
1 2 1
Cartesian
-7.696 6.347 -18.163
-0.064 0.053 -0.151
-2.494 2.057 -5.886
-5.102 4.208 -12.041
```

offset from the most stable computed form: 0.209 eV/atom
symmetry: R3m (160)
calculated formation energy: -3 kJ/mol of formula units

=====

[8]
Material: Cu5SnPd4
Method: DFT, GGA-PBE
State: optimized geometry

Cell and atoms, written as POSCAR:
```
Cu5SnPd4
1.0
-1.580 -2.034 -3.338
-6.377 -1.111 3.694
-0.868 5.236 -0.117
Cu Sn Pd
5 1 4
Cartesian
-3.978 -1.572 0.178
-4.657 1.087 -1.121
-4.168 1.005 1.360
-6.647 0.613 2.772
-2.178 1.479 -2.533
-0.790 -1.017 -1.669
-7.077 2.095 -0.590
-6.154 -0.301 0.433
-2.670 2.392 -0.194
-1.748 -0.003 0.829
```

symmetry: C2/m (12)
calculated formation energy: -44 kJ/mol of formula units

=====

no.,final energy (eV per cell),total magnetic moment (μB/atom)
1,-390.7,0.0386
2,-27.8,1.2414
3,-20.5,0.9851
4,-11.4,0.0000
5,-18.0,0.0000
6,-23.1,0.4105
7,-20.1,0.0001
8,-45.7,0.0000